[1]
The following is a DFT calculation (PBE) of an optimized crystal structure of GaAsPSe2.

Results
- formation energy (no corrections) (kJ/mol of formula units) = 410.7
- crystal system = tetragonal
- symmetry = P4/mmm (123)
- electronic total energy (eV/f.u.) = -15.80
- mass density (g/cm3) = 4.732
- distance to the lowest polymorph of the same formula (meV/atom) = 437

```
5
Lattice="4.864 0.000 0.000 0.000 4.864 0.000 0.000 0.000 4.948" Properties=species:S:1:pos:R:3 pbc="T T T"
P 2.432 2.432 2.474
As 0.000 0.000 2.474
Ga 0.000 0.000 0.000
Se 0.000 2.432 0.000
Se 2.432 0.000 0.000
```

---

[2]
The following is a DFT calculation (PBE) of an optimized crystal structure of Cs3TlHg.

Results
- crystal system = cubic
- symmetry = Pm-3m (221)
- electronic total energy (eV/f.u.) = -5.00
- mass density (g/cm3) = 3.185
- calculated formation energy (meV/atom) = 47
- distance to the lowest polymorph of the same formula (meV/atom) = 126

```
5
Lattice="7.483 0.000 0.000 0.000 7.483 0.000 0.000 0.000 7.483" Properties=species:S:1:pos:R:3 pbc="T T T"
Cs 0.000 3.742 0.000
Cs 0.000 0.000 3.742
Cs 3.742 0.000 0.000
Tl 0.000 0.000 0.000
Hg 3.742 3.742 3.742
```

---

[3]
The following is a DFT calculation (PBE) of an optimized crystal structure of Be2CuRh.

Results
- crystal system = monoclinic
- symmetry = Pm (6)
- electronic total energy (eV/f.u.) = -20.27
- mass density (g/cm3) = 7.315
- calculated formation energy (meV/atom) = -341

```
4
Lattice="-0.109 1.419 -3.302 -2.788 -0.172 0.018 -1.528 3.743 1.658" Properties=species:S:1:pos:R:3 pbc="T T T"
Be -2.030 3.579 1.604
Be -0.634 1.754 -1.183
Rh -3.450 3.691 -0.258
Cu -1.996 1.493 0.707
```

---

[4]
The following is a DFT calculation (PBE) of an optimized crystal structure of NbGe3Br.

Results
- formation energy (no corrections) (kJ/mol of formula units) = 671.6
- crystal system = cubic
- symmetry = Pm-3m (221)
- electronic total energy (eV/f.u.) = -18.63
- mass density (g/cm3) = 5.299
- distance to the lowest polymorph of the same formula (meV/atom) = 1049

```
5
Lattice="4.966 0.000 0.000 0.000 4.966 0.000 0.000 0.000 4.966" Properties=species:S:1:pos:R:3 pbc="T T T"
Nb 2.483 2.483 2.483
Ge 0.000 2.483 0.000
Ge 0.000 0.000 2.483
Ge 2.483 0.000 0.000
Br 0.000 0.000 0.000
```

---

[5]
The following is a DFT calculation (PBE) of an optimized crystal structure of Rb2Cd2Cu.

Results
- crystal system = tetragonal
- symmetry = P4/mbm (127)
- electronic total energy (eV/f.u.) = -6.96
- mass density (g/cm3) = 4.441
- calculated formation energy (meV/atom) = 181
- distance to the lowest polymorph of the same formula (meV/atom) = 0

```
10
Lattice="-3.941 -4.414 -4.592 6.355 -2.367 -3.179 0.345 -4.552 4.080" Properties=species:S:1:pos:R:3 pbc="T T T"
Cu 0.000 0.000 0.000
Cu 1.207 -3.391 -3.885
Rb 3.784 -4.677 -0.945
Rb 2.709 -7.218 -3.689
Rb -1.024 -6.656 -2.746
Rb 0.050 -4.116 -0.002
Cd 4.025 -3.564 -4.317
Cd 0.771 -5.293 -5.971
Cd -1.611 -3.218 -3.454
Cd 1.643 -1.489 -1.800
```

---

[6]
The following is a DFT calculation (PBE) of an optimized crystal structure of KTl2PbI4.

Results
- formation energy (no corrections) (kJ/mol of formula units) = -540.6
- crystal system = tetragonal
- symmetry = I-4m2 (119)
- electronic total energy (eV/f.u.) = -21.34
- mass density (g/cm3) = 5.522

```
8
Lattice="7.074 0.003 0.000 -0.004 7.074 0.000 -3.535 -3.538 6.987" Properties=species:S:1:pos:R:3 pbc="T T T"
K 3.535 3.538 0.000
Tl -0.002 3.537 3.494
Tl 0.000 0.000 0.000
Pb 3.537 0.001 3.494
I 3.537 0.001 6.837
I 3.537 0.001 0.150
I 3.535 3.538 3.496
I 0.000 0.000 3.491
```

---

[7]
The following is a DFT calculation (PBE) of an optimized crystal structure of Pr5Ir2Pd2.

Results
- crystal system = orthorhombic
- symmetry = Cmce (64)
- electronic total energy (eV/f.u.) = -57.77
- mass density (g/cm3) = 9.232
- calculated formation energy (meV/atom) = -641

```
18
Lattice="7.850 0.000 0.000 0.000 7.034 -3.616 0.000 -0.069 8.516" Properties=species:S:1:pos:R:3 pbc="T T T"
Pr 0.000 0.000 0.000
Pr 3.925 3.517 -1.808
Pr 6.543 5.642 -0.659
Pr 1.307 3.215 0.588
Pr 2.618 6.732 -1.220
Pr 5.232 2.125 1.149
Pr 1.307 1.324 5.559
Pr 6.543 3.751 4.312
Pr 5.232 0.234 6.120
Pr 2.618 4.841 3.751
Ir 4.937 6.121 -3.147
Ir 2.913 0.913 -0.470
Ir 1.012 4.430 -2.278
Ir 6.838 2.604 -1.339
Pd 0.000 1.418 2.759
Pd 3.925 4.935 0.950
Pd 0.000 5.548 2.142
Pd 3.925 2.030 3.950
```

---

[8]
The following is a DFT calculation (PBE) of an optimized crystal structure of BaV2Cl.

Results
- formation energy (no corrections) (kJ/mol of formula units) = 197.7
- crystal system = tetragonal
- symmetry = I-42d (122)
- electronic total energy (eV/f.u.) = -19.96
- mass density (g/cm3) = 4.643
- distance to the lowest polymorph of the same formula (meV/atom) = 0

```
8
Lattice="4.692 0.000 0.000 0.000 4.692 0.000 2.346 2.346 8.927" Properties=species:S:1:pos:R:3 pbc="T T T"
V 2.203 1.173 2.232
V 2.489 3.519 2.232
V 3.519 4.834 6.695
V 5.864 4.549 6.695
Ba 0.000 0.000 0.000
Ba 4.692 2.346 4.463
Cl 2.346 2.346 0.000
Cl 2.346 4.692 4.463
```

---

[9]
The following is a DFT calculation (PBE) of an optimized crystal structure of RbSr2Zr2.

Results
- crystal system = tetragonal
- symmetry = I4/mmm (139)
- electronic total energy (eV/f.u.) = -19.04
- mass density (g/cm3) = 3.188
- calculated formation energy (meV/atom) = 477
- distance to the lowest polymorph of the same formula (meV/atom) = 0

```
5
Lattice="-1.621 2.568 2.738 -3.115 0.743 -2.542 -9.440 -8.793 5.709" Properties=species:S:1:pos:R:3 pbc="T T T"
Sr -4.330 -1.243 1.655
Sr -9.846 -4.239 4.251
Rb 0.000 0.000 0.000
Zr -6.715 -2.285 4.273
Zr -7.462 -3.197 1.633
```

---

[10]
The following is a DFT calculation (PBE) of an optimized crystal structure of Pr2HfScO6.

Results
- formation energy (no corrections) (kJ/mol of formula units) = -3181.6
- crystal system = monoclinic
- symmetry = P2_1/c (14)
- electronic total energy (eV/f.u.) = -88.57
- mass density (g/cm3) = 7.310

```
20
Lattice="5.718 0.000 -0.027 0.000 5.876 0.000 0.013 0.000 8.130" Properties=species:S:1:pos:R:3 pbc="T T T"
Pr 0.007 5.547 2.035
Pr 2.873 3.267 6.087
Pr 5.724 0.329 6.069
Pr 2.858 2.609 2.017
Hf 2.865 0.000 4.052
Hf 0.000 2.938 0.000
Sc 2.859 0.000 -0.013
Sc 0.006 2.938 4.065
O 1.764 4.058 0.366
O 4.630 4.756 4.418
O 3.966 1.818 7.738
O 1.101 1.120 3.686
O 1.802 4.095 3.656
O 4.667 4.719 7.708
O 3.929 1.781 4.448
O 1.064 1.157 0.396
O 5.188 3.156 1.992
O 2.336 5.658 6.070
O 0.543 2.720 6.112
O 3.395 0.218 2.033
```

---

[11]
The following is a DFT calculation (PBE) of an optimized crystal structure of TaInCu2.

Results
- crystal system = monoclinic
- symmetry = Pm (6)
- electronic total energy (eV/f.u.) = -22.06
- mass density (g/cm3) = 10.980
- calculated formation energy (meV/atom) = 180

```
4
Lattice="-2.504 0.434 3.332 -2.080 -1.428 -1.377 0.791 -5.290 1.283" Properties=species:S:1:pos:R:3 pbc="T T T"
Cu 0.389 -5.513 1.010
Cu -1.182 -1.210 1.905
In -0.582 -3.105 -0.033
Ta -2.271 -5.106 1.594
```

---

[12]
The following is a DFT calculation (PBE) of an optimized crystal structure of InSiH.

Results
- crystal system = monoclinic
- symmetry = P2_1/m (11)
- electronic total energy (eV/f.u.) = -11.00
- mass density (g/cm3) = 4.160
- distance to the lowest polymorph of the same formula (meV/atom) = 11

```
6
Lattice="-0.366 3.255 2.786 -3.603 -1.121 0.836 2.441 -4.132 4.979" Properties=species:S:1:pos:R:3 pbc="T T T"
In 1.233 -3.255 5.417
In -2.761 1.257 3.184
Si 0.272 -1.314 3.877
Si -1.800 -0.683 4.723
H 0.053 -1.684 2.435
H -1.581 -0.314 6.165
```

---

What is the mass density in the third record? 7.315 g/cm3

---

Number 3 is which compound? Be2CuRh

---

Look up the mass density of the first one. 4.732 g/cm3

---

Look up the electronic total energy of the eleventh one. -22.06 eV/f.u.